Below is a relaxed structure of La2MnIn, with properties calculated at the PBE-GGA level.

Total DFT energy (no corrections), eV per atom: -5.229
V, Å³/atom: 27.69
Space-group type: I-42d
D(E_F), states/eV per atom: 1.324

```
8
Lattice="-5.422 2.367 6.012 -6.036 0.945 -5.816 -6.580 -1.312 0.499" Properties=species:S:1:pos:R:3 pbc="T T T"
La -9.560 0.310 0.131
La -14.633 1.863 0.862
La -5.494 1.141 2.828
La -6.390 0.687 -2.432
Mn -9.172 0.645 -2.610
Mn -5.729 1.656 0.098
In -8.866 1.356 3.304
In 0.000 0.000 0.000
```